(1)
Below is a geometry-optimized AgHgSe3 structure, with properties calculated at the PBE level.

Computed properties:
Energy relative to the elements, uncorrected in eV/atom: 0.61
Final energy in eV per atom: -2.11
Total moment in μB per cell: 0.0
Excess energy over the best structure of this formula in the dataset in meV per atom: 0
Symmetry: Pm-3m

```
data_AgHgSe3
_cell_length_a 5.1171
_cell_length_b 5.1171
_cell_length_c 5.1171
_cell_angle_alpha 90.00
_cell_angle_beta 90.00
_cell_angle_gamma 90.00
_space_group_name_H-M_alt 'P 1'
_space_group_IT_number 1
loop_
_space_group_symop_operation_xyz
'x,y,z'
loop_
_atom_site_label
_atom_site_fract_x
_atom_site_fract_y
_atom_site_fract_z
Ag1 0.0000 0.0000 0.0000
Hg1 0.5000 0.5000 0.5000
Se1 0.0000 0.0000 0.5000
Se2 0.0000 0.5000 0.0000
Se3 0.5000 0.0000 0.0000
```

(2)
Below is a geometry-optimized Ti2GaReBr structure, with properties calculated at the PBE level.

Computed properties:
Energy relative to the elements, uncorrected in eV/atom: 1.60
Final energy in eV per atom: -4.99
Total moment in μB per cell: 1.5
Symmetry: P4/mmm

```
data_Ti2GaReBr
_cell_length_a 4.8360
_cell_length_b 4.8360
_cell_length_c 4.8646
_cell_angle_alpha 90.00
_cell_angle_beta 90.00
_cell_angle_gamma 90.00
_space_group_name_H-M_alt 'P 1'
_space_group_IT_number 1
loop_
_space_group_symop_operation_xyz
'x,y,z'
loop_
_atom_site_label
_atom_site_fract_x
_atom_site_fract_y
_atom_site_fract_z
Ti1 0.0000 0.5000 0.0000
Ti2 0.5000 0.0000 0.0000
Ga1 0.0000 0.0000 0.0000
Re1 0.5000 0.5000 0.5000
Br1 0.0000 0.0000 0.5000
```

(3)
Below is a geometry-optimized Pm2Mg3Ga4 structure, with properties calculated at the PBE level.

Computed properties:
Final energy in eV per atom: -3.31
Calculated formation energy in meV/atom: -378
Total moment in μB per cell: 0.0
Symmetry: Cmce

```
data_Pm2Mg3Ga4
_cell_length_a 8.8329
_cell_length_b 8.8329
_cell_length_c 7.8078
_cell_angle_alpha 90.00
_cell_angle_beta 90.00
_cell_angle_gamma 139.42
_space_group_name_H-M_alt 'P 1'
_space_group_IT_number 1
loop_
_space_group_symop_operation_xyz
'x,y,z'
loop_
_atom_site_label
_atom_site_fract_x
_atom_site_fract_y
_atom_site_fract_z
Pm1 0.0992 0.9008 0.9039
Pm2 0.4008 0.5992 0.4039
Pm3 0.5992 0.4008 0.5961
Pm4 0.9008 0.0992 0.0961
Mg1 0.0000 0.0000 0.5000
Mg2 0.0163 0.4837 0.7500
Mg3 0.4837 0.0163 0.2500
Mg4 0.5000 0.5000 0.0000
Mg5 0.5163 0.9837 0.7500
Mg6 0.9837 0.5163 0.2500
Ga1 0.1667 0.8333 0.5204
Ga2 0.1841 0.3159 0.7500
Ga3 0.3159 0.1841 0.2500
Ga4 0.3333 0.6667 0.0204
Ga5 0.6667 0.3333 0.9796
Ga6 0.6841 0.8159 0.7500
Ga7 0.8159 0.6841 0.2500
Ga8 0.8333 0.1667 0.4796
```

(4)
Below is a geometry-optimized Ta3BiOs structure, with properties calculated at the PBE level.

Computed properties:
Final energy in eV per atom: -9.16
Calculated formation energy in meV/atom: 974
Total moment in μB per cell: 0.0
Excess energy over the best structure of this formula in the dataset in meV per atom: 0
Symmetry: Pm-3m

```
data_Ta3BiOs
_cell_length_a 4.9156
_cell_length_b 4.9156
_cell_length_c 4.9156
_cell_angle_alpha 90.00
_cell_angle_beta 90.00
_cell_angle_gamma 90.00
_space_group_name_H-M_alt 'P 1'
_space_group_IT_number 1
loop_
_space_group_symop_operation_xyz
'x,y,z'
loop_
_atom_site_label
_atom_site_fract_x
_atom_site_fract_y
_atom_site_fract_z
Ta1 0.0000 0.0000 0.5000
Ta2 0.0000 0.5000 0.0000
Ta3 0.5000 0.0000 0.0000
Bi1 0.5000 0.5000 0.5000
Os1 0.0000 0.0000 0.0000
```

(5)
Below is a geometry-optimized TeRu2W structure, with properties calculated at the PBE level.

Computed properties:
Energy relative to the elements, uncorrected in eV/atom: 0.38
Final energy in eV per atom: -8.29
Total moment in μB per cell: 0.0
Symmetry: Cm

```
data_TeRu2W
_cell_length_a 4.9703
_cell_length_b 4.9703
_cell_length_c 4.6447
_cell_angle_alpha 95.66
_cell_angle_beta 95.66
_cell_angle_gamma 35.55
_space_group_name_H-M_alt 'P 1'
_space_group_IT_number 1
loop_
_space_group_symop_operation_xyz
'x,y,z'
loop_
_atom_site_label
_atom_site_fract_x
_atom_site_fract_y
_atom_site_fract_z
Te1 0.0000 0.0000 0.0000
Ru1 0.2355 0.2355 0.7622
Ru2 0.5037 0.5037 0.5111
W1 0.7717 0.7717 0.3180
```

(6)
Below is a geometry-optimized NaBeBr3 structure, with properties calculated at the PBE level.

Computed properties:
Energy relative to the elements, uncorrected in eV/atom: 0.26
Final energy in eV per atom: -1.76
Total moment in μB per cell: 1.6
Excess energy over the best structure of this formula in the dataset in meV per atom: 1476
Symmetry: Pm-3m

```
data_NaBeBr3
_cell_length_a 5.4408
_cell_length_b 5.4408
_cell_length_c 5.4408
_cell_angle_alpha 90.00
_cell_angle_beta 90.00
_cell_angle_gamma 90.00
_space_group_name_H-M_alt 'P 1'
_space_group_IT_number 1
loop_
_space_group_symop_operation_xyz
'x,y,z'
loop_
_atom_site_label
_atom_site_fract_x
_atom_site_fract_y
_atom_site_fract_z
Na1 0.0000 0.0000 0.0000
Be1 0.5000 0.5000 0.5000
Br1 0.0000 0.0000 0.5000
Br2 0.0000 0.5000 0.0000
Br3 0.5000 0.0000 0.0000
```

(7)
Below is a geometry-optimized Hg2WAu structure, with properties calculated at the PBE level.

Computed properties:
Final energy in eV per atom: -3.63
Calculated formation energy in meV/atom: 583
Total moment in μB per cell: 0.0
Excess energy over the best structure of this formula in the dataset in meV per atom: 98
Symmetry: Cm

```
data_Hg2WAu
_cell_length_a 5.8078
_cell_length_b 5.8078
_cell_length_c 5.4019
_cell_angle_alpha 115.04
_cell_angle_beta 115.04
_cell_angle_gamma 28.14
_space_group_name_H-M_alt 'P 1'
_space_group_IT_number 1
loop_
_space_group_symop_operation_xyz
'x,y,z'
loop_
_atom_site_label
_atom_site_fract_x
_atom_site_fract_y
_atom_site_fract_z
Hg1 0.0000 0.0000 0.0000
Hg2 0.2261 0.2261 0.5778
W1 0.4822 0.4822 0.5081
Au1 0.7643 0.7643 0.1093
```

(8)
Below is a geometry-optimized NdHf2 structure, with properties calculated at the PBE level.

Computed properties:
Final energy in eV per atom: -7.86
Calculated formation energy in meV/atom: 369
Total moment in μB per cell: 5.1
Excess energy over the best structure of this formula in the dataset in meV per atom: 226
Symmetry: Fd-3m

```
data_NdHf2
_cell_length_a 6.1250
_cell_length_b 6.1250
_cell_length_c 6.1250
_cell_angle_alpha 60.00
_cell_angle_beta 60.00
_cell_angle_gamma 60.00
_space_group_name_H-M_alt 'P 1'
_space_group_IT_number 1
loop_
_space_group_symop_operation_xyz
'x,y,z'
loop_
_atom_site_label
_atom_site_fract_x
_atom_site_fract_y
_atom_site_fract_z
Nd1 0.1250 0.1250 0.1250
Nd2 0.8750 0.8750 0.8750
Hf1 0.0000 0.5000 0.5000
Hf2 0.5000 0.0000 0.5000
Hf3 0.5000 0.5000 0.0000
Hf4 0.5000 0.5000 0.5000
```

(9)
Below is a geometry-optimized ZrTaCr structure, with properties calculated at the PBE level.

Computed properties:
Final energy in eV per atom: -9.45
Calculated formation energy in meV/atom: 559
Total moment in μB per cell: 0.0
Excess energy over the best structure of this formula in the dataset in meV per atom: 518
Symmetry: F-43m

```
data_ZrTaCr
_cell_length_a 4.3513
_cell_length_b 4.3513
_cell_length_c 4.3513
_cell_angle_alpha 60.00
_cell_angle_beta 60.00
_cell_angle_gamma 60.00
_space_group_name_H-M_alt 'P 1'
_space_group_IT_number 1
loop_
_space_group_symop_operation_xyz
'x,y,z'
loop_
_atom_site_label
_atom_site_fract_x
_atom_site_fract_y
_atom_site_fract_z
Zr1 0.0000 0.0000 0.0000
Ta1 0.5000 0.5000 0.5000
Cr1 0.2500 0.2500 0.2500
```

(10)
Below is a geometry-optimized CuBRu2W structure, with properties calculated at the PBE level.

Computed properties:
Final energy in eV per atom: -8.07
Calculated formation energy in meV/atom: 384
Total moment in μB per cell: 0.0
Symmetry: P4/mmm

```
data_CuBRu2W
_cell_length_a 4.0466
_cell_length_b 4.0466
_cell_length_c 4.1465
_cell_angle_alpha 90.00
_cell_angle_beta 90.00
_cell_angle_gamma 90.00
_space_group_name_H-M_alt 'P 1'
_space_group_IT_number 1
loop_
_space_group_symop_operation_xyz
'x,y,z'
loop_
_atom_site_label
_atom_site_fract_x
_atom_site_fract_y
_atom_site_fract_z
Cu1 0.0000 0.0000 0.0000
B1 0.5000 0.5000 0.5000
Ru1 0.0000 0.5000 0.5000
Ru2 0.5000 0.0000 0.5000
W1 0.5000 0.5000 0.0000
```

(11)
Below is a geometry-optimized NdSmTlAu structure, with properties calculated at the PBE level.

Computed properties:
Final energy in eV per atom: -4.31
Calculated formation energy in meV/atom: -531
Total moment in μB per cell: 0.4
Excess energy over the best structure of this formula in the dataset in meV per atom: 47
Symmetry: F-43m

```
data_NdSmTlAu
_cell_length_a 5.3763
_cell_length_b 5.3763
_cell_length_c 5.3763
_cell_angle_alpha 60.00
_cell_angle_beta 60.00
_cell_angle_gamma 60.00
_space_group_name_H-M_alt 'P 1'
_space_group_IT_number 1
loop_
_space_group_symop_operation_xyz
'x,y,z'
loop_
_atom_site_label
_atom_site_fract_x
_atom_site_fract_y
_atom_site_fract_z
Nd1 0.0000 0.0000 0.0000
Sm1 0.5000 0.5000 0.5000
Tl1 0.2500 0.2500 0.2500
Au1 0.7500 0.7500 0.7500
```

(12)
Below is a geometry-optimized GdZnAu structure, with properties calculated at the PBE level.

Computed properties:
Final energy in eV per atom: -6.86
Calculated formation energy in meV/atom: -650
Total moment in μB per cell: 7.2
Symmetry: P-6m2

```
data_GdZnAu
_cell_length_a 4.5636
_cell_length_b 4.5636
_cell_length_c 3.6074
_cell_angle_alpha 90.00
_cell_angle_beta 90.00
_cell_angle_gamma 120.00
_space_group_name_H-M_alt 'P 1'
_space_group_IT_number 1
loop_
_space_group_symop_operation_xyz
'x,y,z'
loop_
_atom_site_label
_atom_site_fract_x
_atom_site_fract_y
_atom_site_fract_z
Gd1 0.0000 0.0000 0.0000
Zn1 0.3333 0.6667 0.5000
Au1 0.6667 0.3333 0.5000
```